Record 1
# Ac5La8Sm, relaxed, DFT PBE
data_Ac5La8Sm
_chemical_formula_sum 'Ac5 La8 Sm1'
_cell_length_a 6.621
_cell_length_b 10.091
_cell_length_c 10.103
_cell_angle_alpha 115.34
_cell_angle_beta 96.47
_cell_angle_gamma 108.80
_space_group_name_H-M_alt 'P 1'
_space_group_IT_number 1
loop_
_space_group_symop_operation_xyz
'x,y,z'
loop_
_atom_site_label
_atom_site_type_symbol
_atom_site_fract_x
_atom_site_fract_y
_atom_site_fract_z
Ac1 Ac 0.000 0.000 0.000
Ac2 Ac 0.009 0.513 0.511
Ac3 Ac 0.289 0.798 0.363
Ac4 Ac 0.434 0.434 0.287
Ac5 Ac 0.723 0.225 0.652
La1 La 0.143 0.147 0.434
La2 La 0.157 0.652 0.937
La3 La 0.289 0.290 0.859
La4 La 0.435 0.940 0.794
La5 La 0.571 0.578 0.723
La6 La 0.581 0.079 0.216
La7 La 0.715 0.718 0.144
La8 La 0.861 0.366 0.074
Sm1 Sm 0.860 0.865 0.576
# - N(E_F) (states/eV/atom) = 2.0091
# - ΔH_f (0 K) (eV per formula unit) = 0.3
# - total magnetic moment (Bohr magnetons per cell) = 0.00
# - energy (eV/atom) = -4.60

=====

Record 2
# HoSnP2Rh5, relaxed, DFT PBE
data_HoSnP2Rh5
_chemical_formula_sum 'Ho1 Sn1 P2 Rh5'
_cell_length_a 4.044
_cell_length_b 4.044
_cell_length_c 8.633
_cell_angle_alpha 90.00
_cell_angle_beta 90.00
_cell_angle_gamma 90.00
_space_group_name_H-M_alt 'P 4/m m m'
_space_group_IT_number 123
_space_group_name_Hall '-P 4 2'
loop_
_atom_site_label
_atom_site_type_symbol
_atom_site_fract_x
_atom_site_fract_y
_atom_site_fract_z
Ho1 Ho 0.000 0.000 0.000
Sn1 Sn 0.000 0.000 0.500
P1 P 0.500 0.500 0.135
Rh1 Rh 0.000 0.500 0.263
Rh2 Rh 0.500 0.500 0.500
# - N(E_F) (states/eV/atom) = 0.4952
# - ΔH_f (0 K) (eV per formula unit) = -7.8
# - total magnetic moment (Bohr magnetons per cell) = 0.00
# - energy (eV/atom) = -7.11

=====

Which of these has the highest N(E_F)? Ac5La8Sm

=====

What did the first record say?
# Ac5La8Sm, relaxed, DFT PBE
data_Ac5La8Sm
_chemical_formula_sum 'Ac5 La8 Sm1'
_cell_length_a 6.621
_cell_length_b 10.091
_cell_length_c 10.103
_cell_angle_alpha 115.34
_cell_angle_beta 96.47
_cell_angle_gamma 108.80
_space_group_name_H-M_alt 'P 1'
_space_group_IT_number 1
loop_
_space_group_symop_operation_xyz
'x,y,z'
loop_
_atom_site_label
_atom_site_type_symbol
_atom_site_fract_x
_atom_site_fract_y
_atom_site_fract_z
Ac1 Ac 0.000 0.000 0.000
Ac2 Ac 0.009 0.513 0.511
Ac3 Ac 0.289 0.798 0.363
Ac4 Ac 0.434 0.434 0.287
Ac5 Ac 0.723 0.225 0.652
La1 La 0.143 0.147 0.434
La2 La 0.157 0.652 0.937
La3 La 0.289 0.290 0.859
La4 La 0.435 0.940 0.794
La5 La 0.571 0.578 0.723
La6 La 0.581 0.079 0.216
La7 La 0.715 0.718 0.144
La8 La 0.861 0.366 0.074
Sm1 Sm 0.860 0.865 0.576
# - N(E_F) (states/eV/atom) = 2.0091
# - ΔH_f (0 K) (eV per formula unit) = 0.3
# - total magnetic moment (Bohr magnetons per cell) = 0.00
# - energy (eV/atom) = -4.60